1.
{"formula": "BaCaEuY", "functional": "PBE", "state": "optimized geometry", "cell": [[-5.665, 0.012, 2.589], [-2.332, -5.247, 2.414], [-0.605, -0.589, 6.171]], "species": ["Eu", "Ca", "Ba", "Y"], "frac_coords": [[0.250, 0.250, 0.250], [0.750, 0.750, 0.750], [0.000, 0.000, 0.000], [0.500, 0.500, 0.500]], "formation_energy_ev_per_atom": 0.163}



2.
{"formula": "Tc2IrOs", "functional": "PBE", "state": "optimized geometry", "cell": [[2.726, 0.000, 0.000], [0.000, 3.890, 0.000], [0.000, 0.000, 5.462]], "species": ["Os", "Tc", "Tc", "Ir"], "frac_coords": [[0.500, 0.500, 0.750], [0.000, 0.000, 0.510], [0.000, 0.000, 0.990], [0.500, 0.500, 0.250]], "formation_energy_ev_per_atom": -0.073}



3.
{"formula": "K2TaAgTe4", "functional": "PBE", "state": "optimized geometry", "cell": [[-3.493, -5.206, 0.564], [1.850, -4.357, 6.367], [-10.712, 4.198, 7.541]], "species": ["Te", "Te", "Te", "Te", "Te", "Te", "Te", "Te", "Ag", "Ag", "Ta", "Ta", "K", "K", "K", "K"], "frac_coords": [[0.563, 0.213, 0.118], [0.187, 0.287, 0.382], [0.318, 0.787, 0.118], [0.895, 0.787, 0.882], [0.527, 0.287, 0.618], [0.855, 0.713, 0.618], [0.223, 0.213, 0.882], [0.432, 0.713, 0.382], [0.750, 0.500, 0.500], [0.000, 0.000, 0.000], [0.250, 0.500, 0.500], [0.500, 0.000, 0.000], [0.187, 0.000, 0.626], [0.813, 0.000, 0.374], [0.563, 0.500, 0.874], [0.937, 0.500, 0.126]], "raw_formation_energy_ev_per_atom": -0.61}



4.
{"formula": "Cd2IrW", "functional": "PBE", "state": "optimized geometry", "cell": [[4.796, -0.002, 0.007], [3.938, 2.738, 0.007], [0.664, 0.208, 5.397]], "species": ["W", "Cd", "Cd", "Ir"], "frac_coords": [[0.246, 0.246, 0.289], [0.999, 0.999, 0.993], [0.754, 0.754, 0.759], [0.502, 0.502, 0.460]], "formation_energy_ev_per_atom": 0.342}



5.
{"formula": "YIrRu2", "functional": "PBE", "state": "optimized geometry", "cell": [[4.878, 0.027, 0.000], [-1.509, 4.639, 0.000], [0.000, 0.000, 2.896]], "species": ["Y", "Ir", "Ru", "Ru"], "frac_coords": [[0.500, 0.000, 0.500], [0.000, 0.500, 0.500], [0.000, 0.000, 0.000], [0.500, 0.500, 0.000]], "formation_energy_ev_per_atom": 0.063}



6.
{"formula": "HgPtSe2", "functional": "PBE", "state": "optimized geometry", "cell": [[4.816, 0.000, 0.000], [2.408, 4.171, 0.000], [2.408, 1.390, 3.932]], "species": ["Hg", "Pt", "Se", "Se"], "frac_coords": [[0.500, 0.500, 0.500], [0.250, 0.250, 0.250], [0.000, 0.000, 0.000], [0.750, 0.750, 0.750]], "raw_formation_energy_ev_per_atom": 0.49}